Entry 1:
The following is a GGA-PBE calculation of a geometry-optimized AcCrBi2 structure, from Alexandria via LeMat-Bulk.

Uncorrected energy (eV/atom): -5.47
V (Å³/atom): 30.68
Crystal system: tetragonal

CIF file:
```
data_AcCrBi2
_chemical_formula_sum 'Ac1 Cr1 Bi2'
_space_group_name_H-M_alt 'P 4/m m m'
_space_group_IT_number 123
_space_group_name_Hall '-P 4 2'
_cell_length_a 5.165
_cell_length_b 5.165
_cell_length_c 4.600
_cell_angle_alpha 90.00
_cell_angle_beta 90.00
_cell_angle_gamma 90.00
loop_
_atom_site_label
_atom_site_type_symbol
_atom_site_fract_x
_atom_site_fract_y
_atom_site_fract_z
Ac1 Ac 0.000 0.000 0.000
Cr1 Cr 0.500 0.500 0.000
Bi1 Bi 0.000 0.500 0.500
```

---

Entry 2:
The following is a GGA-PBE calculation of a geometry-optimized Ac3TlSn structure, from Alexandria via LeMat-Bulk.

Uncorrected energy (eV/atom): -4.12
Polymorph energy (0 for the lowest one) (eV per atom): 0.054
V (Å³/atom): 41.05
Crystal system: orthorhombic

CIF file:
```
data_Ac3TlSn
_chemical_formula_sum 'Ac6 Tl2 Sn2'
_space_group_name_H-M_alt 'P m m n'
_space_group_IT_number 59
_cell_length_a 5.098
_cell_length_b 8.034
_cell_length_c 10.023
_cell_angle_alpha 90.00
_cell_angle_beta 90.00
_cell_angle_gamma 90.00
loop_
_space_group_symop_operation_xyz
'x,y,z'
'-x,-y,-z'
'-x+1/2,-y+1/2,z'
'x+1/2,y+1/2,-z'
'x+1/2,-y,-z'
'-x+1/2,y,z'
'-x,y+1/2,-z'
'x,-y+1/2,z'
loop_
_atom_site_label
_atom_site_type_symbol
_atom_site_fract_x
_atom_site_fract_y
_atom_site_fract_z
Ac1 Ac 0.250 0.013 0.180
Ac2 Ac 0.250 0.250 0.562
Tl1 Tl 0.250 0.750 0.658
Sn1 Sn 0.250 0.250 0.898
```

---

Number 1: D(E_F) 2.253 states/eV per cell. Number 2: D(E_F) 5.818 states/eV per cell.